[1]
Density functional theory data (meta-GGA SCAN) for a crystal of Hf2CrSi2 relaxed with PBEsol.

Summary:
- formation energy without anion corrections (eV per atom) = -0.6305
- V (Å³/cell) = 156.4
- Fermi-level density of states (states/eV/f.u.) = 2.4

Structure (POSCAR):
```
Hf2CrSi2
1.0
3.8030 0.0000 0.0000
0.0000 6.4120 0.0000
0.0000 0.0000 6.4120
Hf Cr Si
4 2 4
direct
0.5000 0.6738 0.8262
0.5000 0.1738 0.6738
0.5000 0.3262 0.1738
0.5000 0.8262 0.3262
0.0000 0.0000 0.0000
0.0000 0.5000 0.5000
0.0000 0.8680 0.6320
0.0000 0.3680 0.8680
0.0000 0.1320 0.3680
0.0000 0.6320 0.1320
```



[2]
Density functional theory data (meta-GGA SCAN) for a crystal of HfCrSi relaxed with PBEsol.

Summary:
- formation energy without anion corrections (eV per atom) = -0.5892
- V (Å³/cell) = 176.6
- Fermi-level density of states (states/eV/f.u.) = 1.3

Structure (POSCAR):
```
HfCrSi
1.0
3.4080 0.0000 0.0000
0.0000 6.6562 0.0000
0.0000 0.0000 7.7852
Si Cr Hf
4 4 4
direct
0.2500 0.2598 0.6333
0.7500 0.7402 0.3667
0.2500 0.7598 0.8667
0.7500 0.2402 0.1333
0.7500 0.8757 0.0598
0.2500 0.6243 0.5598
0.7500 0.3757 0.4402
0.2500 0.1243 0.9402
0.2500 0.5431 0.1689
0.7500 0.4569 0.8311
0.2500 0.0431 0.3311
0.7500 0.9569 0.6689
```



[3]
Density functional theory data (meta-GGA SCAN) for a crystal of Hf2Cr4Si5 relaxed with PBEsol.

Summary:
- formation energy without anion corrections (eV per atom) = -0.5156
- V (Å³/cell) = 289.9
- Fermi-level density of states (states/eV/f.u.) = 5.8

Structure (POSCAR):
```
Hf2Cr4Si5
1.0
4.8684 0.0000 0.0000
0.0000 7.4881 0.0000
-2.4342 -3.7440 7.9523
Cr Hf Si
8 4 10
direct
0.4419 0.6919 0.3838
0.4376 0.6856 0.8753
0.5624 0.3144 0.1247
0.9419 0.6919 0.3838
0.9376 0.1897 0.8753
0.0624 0.8103 0.1247
0.0581 0.3081 0.6162
0.5581 0.3081 0.6162
0.1415 0.2615 0.2830
0.6415 0.0216 0.2830
0.3585 0.9784 0.7170
0.8585 0.7385 0.7170
0.2887 0.5799 0.5775
0.5643 0.6388 0.1286
0.2113 0.0024 0.4225
0.7113 0.4201 0.4225
0.7887 0.9976 0.5775
0.7500 0.0000 0.0000
0.2500 0.0000 0.0000
0.4357 0.3612 0.8714
0.0643 0.4898 0.1286
0.9357 0.5102 0.8714
```



[4]
Density functional theory data (meta-GGA SCAN) for a crystal of HfCr3Si relaxed with PBEsol.

Summary:
- formation energy without anion corrections (eV per atom) = 1.7869
- V (Å³/cell) = 96.6
- Fermi-level density of states (states/eV/f.u.) = 5.0
- energy above the lowest structure with this stoichiometry (meV/atom) = 1243

Structure (POSCAR):
```
HfCr3Si
1.0
4.5877 0.0000 0.0000
0.0000 4.5877 0.0000
0.0000 0.0000 4.5877
Cr Hf Si
3 1 1
direct
0.0000 0.5000 0.0000
0.0000 0.0000 0.5000
0.5000 0.0000 0.0000
0.0000 0.0000 0.0000
0.5000 0.5000 0.5000
```